(1)
# Pr3Dy4In4, relaxed, DFT PBE-GGA
# Fermi-level density of states = 22.36 states/eV per cell
# M_tot = 0.00 μB per formula unit
# ΔE_f = -0.287 eV/atom
data_Pr3Dy4In4
_chemical_formula_sum 'Pr6 Dy8 In8'
_space_group_name_H-M_alt 'I m m m'
_space_group_IT_number 71
_space_group_name_Hall '-I 2 2'
_cell_length_a 5.319
_cell_length_b 7.174
_cell_length_c 17.676
_cell_angle_alpha 90.00
_cell_angle_beta 90.00
_cell_angle_gamma 90.00
loop_
_atom_site_label
_atom_site_type_symbol
_atom_site_fract_x
_atom_site_fract_y
_atom_site_fract_z
_atom_site_occupancy
Pr1 Pr 0.000 0.000 0.000 1
Pr2 Pr 0.000 0.500 0.105 1
Dy1 Dy 0.000 0.268 0.322 1
In1 In 0.000 0.000 0.181 1
In2 In 0.000 0.210 0.500 1

---

(2)
# Sc2AuCl, relaxed, DFT PBE-GGA
# Fermi-level density of states = 23.14 states/eV per cell
# E_form (uncorrected) = -0.642 eV/atom
# energy relative to the lowest polymorph listed for this composition = 323 meV per atom
# M_tot = 0.76 μB per formula unit
data_Sc2AuCl
_chemical_formula_sum 'Sc8 Au4 Cl4'
_space_group_name_H-M_alt 'F m -3 m'
_space_group_IT_number 225
_space_group_name_Hall '-F 4 2 3'
_cell_length_a 6.847
_cell_length_b 6.847
_cell_length_c 6.847
_cell_angle_alpha 90.00
_cell_angle_beta 90.00
_cell_angle_gamma 90.00
loop_
_atom_site_label
_atom_site_type_symbol
_atom_site_fract_x
_atom_site_fract_y
_atom_site_fract_z
_atom_site_occupancy
Sc1 Sc 0.250 0.250 0.250 1
Au1 Au 0.000 0.000 0.000 1
Cl1 Cl 0.000 0.000 0.500 1

---

(3)
# Na3USe4, relaxed, DFT PBE-GGA
# Fermi-level density of states = 10.38 states/eV per cell
# E_form (uncorrected) = -1.158 eV/atom
# energy relative to the lowest polymorph listed for this composition = 25 meV per atom
# M_tot = 1.00 μB per formula unit
data_Na3USe4
_chemical_formula_sum 'Na6 U2 Se8'
_space_group_name_H-M_alt 'C m m m'
_space_group_IT_number 65
_space_group_name_Hall '-C 2 2'
_cell_length_a 8.475
_cell_length_b 11.778
_cell_length_c 4.209
_cell_angle_alpha 90.00
_cell_angle_beta 90.00
_cell_angle_gamma 90.00
loop_
_atom_site_label
_atom_site_type_symbol
_atom_site_fract_x
_atom_site_fract_y
_atom_site_fract_z
_atom_site_occupancy
Na1 Na 0.000 0.000 0.000 1
Na2 Na 0.250 0.250 0.500 1
U1 U 0.000 0.500 0.000 1
Se1 Se 0.000 0.272 0.000 1
Se2 Se 0.225 0.500 0.500 1

---

(4)
# La3ZnGe2Pt9, relaxed, DFT PBE-GGA
# Fermi-level density of states = 7.21 states/eV per cell
# M_tot = 0.00 μB per formula unit
# ΔE_f = -0.723 eV/atom
data_La3ZnGe2Pt9
_chemical_formula_sum 'La3 Zn1 Ge2 Pt9'
_space_group_name_H-M_alt 'P -3 m 1'
_space_group_IT_number 164
_space_group_name_Hall '-P 3 2"'
_cell_length_a 5.7763
_cell_length_b 5.7763
_cell_length_c 11.4958
_cell_angle_alpha 90.00
_cell_angle_beta 90.00
_cell_angle_gamma 120.00
loop_
_atom_site_label
_atom_site_type_symbol
_atom_site_fract_x
_atom_site_fract_y
_atom_site_fract_z
_atom_site_occupancy
La1 La 0.0000 0.0000 0.0000 1
La2 La 0.3333 0.6667 0.7418 1
Zn1 Zn 0.0000 0.0000 0.5000 1
Ge1 Ge 0.3333 0.6667 0.1676 1
Pt1 Pt 0.0000 0.5000 0.0000 1
Pt2 Pt 0.1616 0.3233 0.3244 1

---

(5)
# Ce2Mn2Ga2C, relaxed, DFT PBE-GGA
# Fermi-level density of states = 17.75 states/eV per cell
# M_tot = 1.40 μB per formula unit
# ΔE_f = -0.309 eV/atom
data_Ce2Mn2Ga2C
_chemical_formula_sum 'Ce4 Mn4 Ga4 C2'
_space_group_name_H-M_alt 'C 1 2/m 1'
_space_group_IT_number 12
_cell_length_a 11.120
_cell_length_b 3.831
_cell_length_c 7.382
_cell_angle_alpha 90.00
_cell_angle_beta 128.00
_cell_angle_gamma 90.00
loop_
_space_group_symop_operation_xyz
'x,y,z'
'-x,-y,-z'
'-x,y,-z'
'x,-y,z'
'x+1/2,y+1/2,z'
'-x+1/2,-y+1/2,-z'
'-x+1/2,y+1/2,-z'
'x+1/2,-y+1/2,z'
loop_
_atom_site_label
_atom_site_type_symbol
_atom_site_fract_x
_atom_site_fract_y
_atom_site_fract_z
_atom_site_occupancy
Ce1 Ce 0.064 0.000 0.286 1
Mn1 Mn 0.191 0.500 0.066 1
Ga1 Ga 0.149 0.500 0.692 1
C1 C 0.000 0.500 0.000 1

---

(6)
# Al2ZnCo, relaxed, DFT PBE-GGA
# Fermi-level density of states = 3.49 states/eV per cell
# M_tot = 0.00 μB per formula unit
# ΔE_f = -0.043 eV/atom
data_Al2ZnCo
_chemical_formula_sum 'Al8 Zn4 Co4'
_space_group_name_H-M_alt 'F -4 3 m'
_space_group_IT_number 216
_space_group_name_Hall 'F -4 2 3'
_cell_length_a 5.980
_cell_length_b 5.980
_cell_length_c 5.980
_cell_angle_alpha 90.00
_cell_angle_beta 90.00
_cell_angle_gamma 90.00
loop_
_atom_site_label
_atom_site_type_symbol
_atom_site_fract_x
_atom_site_fract_y
_atom_site_fract_z
_atom_site_occupancy
Al1 Al 0.000 0.000 0.000 1
Al2 Al 0.250 0.250 0.250 1
Zn1 Zn 0.250 0.250 0.750 1
Co1 Co 0.000 0.000 0.500 1

---

(7)
# MgVPd, relaxed, DFT PBE-GGA
# Fermi-level density of states = 13.60 states/eV per cell
# M_tot = 0.59 μB per formula unit
# ΔE_f = -0.065 eV/atom
data_MgVPd
_chemical_formula_sum 'Mg4 V4 Pd4'
_space_group_name_H-M_alt 'C m m m'
_space_group_IT_number 65
_space_group_name_Hall '-C 2 2'
_cell_length_a 3.965
_cell_length_b 3.974
_cell_length_c 12.006
_cell_angle_alpha 90.00
_cell_angle_beta 90.00
_cell_angle_gamma 90.00
loop_
_atom_site_label
_atom_site_type_symbol
_atom_site_fract_x
_atom_site_fract_y
_atom_site_fract_z
_atom_site_occupancy
Mg1 Mg 0.000 0.000 0.159 1
V1 V 0.000 0.500 0.343 1
Pd1 Pd 0.000 0.000 0.500 1
Pd2 Pd 0.000 0.500 0.000 1

---

(8)
# Fe2AsRu, relaxed, DFT PBE-GGA
# Fermi-level density of states = 4.50 states/eV per cell
# M_tot = 5.12 μB per formula unit
# ΔE_f = 0.128 eV/atom
data_Fe2AsRu
_chemical_formula_sum 'Fe2 As1 Ru1'
_space_group_name_H-M_alt 'P m m m'
_space_group_IT_number 47
_cell_length_a 2.770
_cell_length_b 3.857
_cell_length_c 4.979
_cell_angle_alpha 90.00
_cell_angle_beta 90.00
_cell_angle_gamma 90.00
loop_
_space_group_symop_operation_xyz
'x,y,z'
'-x,-y,-z'
'-x,-y,z'
'x,y,-z'
'x,-y,-z'
'-x,y,z'
'-x,y,-z'
'x,-y,z'
loop_
_atom_site_label
_atom_site_type_symbol
_atom_site_fract_x
_atom_site_fract_y
_atom_site_fract_z
_atom_site_occupancy
Fe1 Fe 0.000 0.000 0.247 1
As1 As 0.500 0.500 0.500 1
Ru1 Ru 0.500 0.500 0.000 1